[1]
VASP calculation (PBE) on a relaxed structure of InHgTe2.

Computed properties:
E_tot: -0.177 Ry per atom

a b c (Å): 6.1265 3.2451 6.0445
angles (deg): 90.77 90.00 90.00
Closest atoms and distances in Å follow each position.
Sites, in units of the cell vectors:
In 0.5000 0.0713 0.8754  4 Te 3.09-3.14, 2 In 3.25
Te 0.5000 0.3324 0.3770  2 Hg 3.13, 2 In 3.14, 2 Te 3.25
Te 0.0000 0.9554 0.8733  2 Hg 3.08, 2 In 3.09, 2 Te 3.25
Hg 0.0000 0.1409 0.3743  4 Te 3.08-3.13, 2 Hg 3.25



[2]
VASP calculation (PBE) on a relaxed structure of Pm3DyHo4S8.

Computed properties:
E_tot: -0.469 Ry per atom

a b c (Å): 7.8580 7.9217 7.8578
angles (deg): 119.73 120.00 90.00
Closest atoms and distances in Å follow each position.
Sites, in units of the cell vectors:
S 0.2509 0.7608 0.5018  3 Ho 2.73-2.78, 1 Dy 2.80, 2 Pm 2.85
S 0.2450 0.2350 0.4900  3 Ho 2.73, 3 Pm 2.85
S 0.2509 0.7608 0.0099  3 Ho 2.73-2.78, 1 Dy 2.80, 2 Pm 2.85
S 0.7491 0.2392 0.4982  3 Ho 2.73-2.78, 1 Dy 2.80, 2 Pm 2.85
S 0.2410 0.2392 0.9901  3 Ho 2.73-2.78, 1 Dy 2.80, 2 Pm 2.85
S 0.7550 0.7650 0.5100  3 Ho 2.73, 3 Pm 2.85
S 0.7590 0.7608 0.0099  3 Ho 2.73-2.78, 1 Dy 2.80, 2 Pm 2.85
S 0.7491 0.2392 0.9901  3 Ho 2.73-2.78, 1 Dy 2.80, 2 Pm 2.85
Pm 0.5000 0.5000 0.0000  6 S 2.85
Pm 0.0000 0.5000 0.5000  6 S 2.85
Pm 0.5000 0.5000 0.5000  6 S 2.85
Ho 0.5000 0.0000 0.0000  6 S 2.78
Ho 0.0000 0.0000 0.0000  6 S 2.73
Ho 0.0000 0.0000 0.5000  6 S 2.73
Ho 0.5000 0.0000 0.5000  6 S 2.73
Dy 0.0000 0.5000 0.0000  6 S 2.80